# KZnNi2F8

A relaxed structure of KZnNi2F8 (PBE+U, Alexandria via LeMat-Bulk).

Output
E_tot   -0.14568 hartree per atom
V   14.73 A^3/atom

a = 4.751 Å, b = 4.773 Å, c = 7.841 Å
α = 86.36°, β = 88.74°, γ = 85.16°
Sites, in units of the cell vectors:
K (0.000, 0.000, 0.000)
Zn (0.000, 0.000, 0.500)
Ni (0.490, 0.478, 0.692)
Ni (0.510, 0.522, 0.308)
F (0.193, 0.795, 0.310)
F (0.195, 0.775, 0.696)
F (0.320, 0.302, 0.492)
F (0.374, 0.320, 0.898)
F (0.626, 0.680, 0.102)
F (0.680, 0.698, 0.508)
F (0.805, 0.225, 0.304)
F (0.807, 0.205, 0.690)